No. 1
CoTcN2: optimized geometry, PBE-GGA.

Results
- formation energy (no corrections) (meV per atom) = 334
- energy relative to the lowest polymorph listed for this composition (eV per formula unit) = 1.182
- crystal system = trigonal
- DOS(E_F) (states/eV/atom) = 0.665

Unit cell a=6.032 b=6.032 c=6.032 alpha=26.86 beta=26.86 gamma=26.86
Fractional coordinates of all 4 atoms:
1 Co 0.000 0.000 0.000
2 Tc 0.147 0.147 0.147
3 N 0.551 0.551 0.551
4 N 0.717 0.717 0.717

***

No. 2
CoTcN2: optimized geometry, PBE-GGA.

Results
- formation energy (no corrections) (meV per atom) = 38
- energy relative to the lowest polymorph listed for this composition (eV per formula unit) = 0.000
- crystal system = tetragonal
- DOS(E_F) (states/eV/atom) = 0.803

Unit cell a=5.423 b=5.423 c=5.423 alpha=131.76 beta=131.76 gamma=70.60
Fractional coordinates of all 8 atoms:
1 Co 0.000 0.000 0.000
2 Co 0.750 0.250 0.500
3 Tc 0.250 0.750 0.500
4 Tc 0.500 0.500 0.000
5 N 0.111 0.625 0.986
6 N 0.375 0.361 0.486
7 N 0.639 0.125 0.014
8 N 0.875 0.889 0.514